Material: K2HgBiCl6
Method: DFT, PBE
State: relaxed

abc: 11.0356 11.0356 11.0356
angles: 90.00 90.00 90.00
With the nearest neighbours (Å) after each atom.
Space group Fm-3m (No. 225)
Unique sites:
K1 0.2500 0.2500 0.2500 [8 per cell]  12 Cl 3.90
Hg1 0.0000 0.0000 0.0000 [4 per cell]  6 Cl 2.81
Bi1 0.0000 0.0000 0.5000 [4 per cell]  6 Cl 2.71
Cl1 0.0000 0.0000 0.2543 [24 per cell]  1 Bi 2.71, 1 Hg 2.81

Material: Hg4BiS2Cl5
Method: DFT, PBE
State: relaxed

abc: 8.1790 10.6396 8.9644
angles: 90.00 112.71 90.00
With the nearest neighbours (Å) after each atom.
Space group P2_1 (No. 4)
Unique sites:
Hg1 0.0026 0.0000 0.0146 [2 per cell]  2 S 2.40-2.41
Hg2 0.3084 0.7510 0.0170 [2 per cell]  2 S 2.44
Hg3 0.4261 0.5015 0.3286 [2 per cell]  1 S 2.52, 1 Hg 2.62
Hg4 0.4510 0.9871 0.3552 [2 per cell]  1 S 2.51, 1 Hg 2.62
Bi1 0.0024 0.7511 0.5080 [2 per cell]  6 Cl 2.67-2.77
S1 0.3044 0.5216 0.0255 [2 per cell]  3 Hg 2.41-2.52
S2 0.3084 0.9786 0.0524 [2 per cell]  3 Hg 2.40-2.51
Cl1 0.0033 0.0021 0.4306 [2 per cell]  2 Bi 2.71-2.76
Cl2 0.0949 0.7140 0.2560 [2 per cell]  1 Bi 2.67
Cl3 0.0969 0.2757 0.2307 [2 per cell]  1 Bi 2.77
Cl4 0.3420 0.2429 0.6899 [2 per cell]  1 Bi 2.69
Cl5 0.3572 0.7561 0.7094 [2 per cell]  1 Bi 2.76, 1 Hg 2.94

Material: HoBiCl6
Method: DFT, PBE
State: relaxed

abc: 6.9003 11.9556 6.4758
angles: 90.00 110.86 90.00
With the nearest neighbours (Å) after each atom.
Space group C2 (No. 5)
Unique sites:
Ho1 0.0000 0.0000 0.0000 [2 per cell]  6 Cl 2.64
Bi1 0.0000 0.3322 0.0000 [2 per cell]  6 Cl 2.73-2.74
Cl1 0.2302 0.1608 0.2464 [4 per cell]  1 Ho 2.64, 1 Bi 2.73
Cl2 0.2361 0.9934 0.7571 [4 per cell]  1 Ho 2.64, 1 Bi 2.73
Cl3 0.2489 0.8442 0.2444 [4 per cell]  1 Ho 2.64, 1 Bi 2.74

Material: Ho2BiClO4
Method: DFT, PBE
State: relaxed

abc: 3.9271 3.9271 8.9206
angles: 90.00 90.00 90.00
With the nearest neighbours (Å) after each atom.
Space group P4/mmm (No. 123)
Unique sites:
Ho1 0.0000 0.0000 0.2325 [2 per cell]  4 O 2.16
Bi1 0.5000 0.5000 0.5000 [1 per cell]  8 O 2.47
Cl1 0.5000 0.5000 0.0000 [1 per cell]  8 Ho 3.47, 8 O 3.55
O1 0.0000 0.5000 0.3322 [4 per cell]  2 Ho 2.16

Material: PmBiN2Cl2
Method: DFT, PBE
State: relaxed

abc: 3.8268 3.8268 7.6681
angles: 90.00 90.00 90.00
With the nearest neighbours (Å) after each atom.
Space group P4mm (No. 99)
Unique sites:
Pm1 0.0000 0.0000 0.0000 [1 per cell]  4 N 2.48
Bi1 0.5000 0.5000 0.6159 [1 per cell]  4 N 2.35
N1 0.0000 0.5000 0.7946 [2 per cell]  2 Bi 2.35, 2 Pm 2.48
Cl1 0.0000 0.0000 0.3983 [1 per cell]  1 Pm 3.05, 4 Bi 3.18, 4 Cl 3.34
Cl2 0.5000 0.5000 0.1419 [1 per cell]  4 Pm 2.92

Material: Nd2BiClO4
Method: DFT, PBE
State: relaxed

abc: 4.0070 4.0070 9.0696
angles: 90.00 90.00 90.00
With the nearest neighbours (Å) after each atom.
Space group P4/mmm (No. 123)
Unique sites:
Nd1 0.0000 0.0000 0.2269 [2 per cell]  4 O 2.25
Bi1 0.5000 0.5000 0.5000 [1 per cell]  8 O 2.48
Cl1 0.5000 0.5000 0.0000 [1 per cell]  8 Nd 3.50, 8 O 3.67
O1 0.0000 0.5000 0.3391 [4 per cell]  2 Nd 2.25, 2 Bi 2.48

Material: Nd2Bi2Cl2O7
Method: DFT, PBE
State: relaxed

abc: 15.7068 4.0924 7.1473
angles: 90.00 114.67 90.00
With the nearest neighbours (Å) after each atom.
Space group C2/m (No. 12)
Unique sites:
Nd1 0.1987 0.0000 0.1765 [4 per cell]  6 O 2.36-2.62
Bi1 0.0349 0.5000 0.8045 [4 per cell]  5 O 2.01-2.11
Cl1 0.1771 0.0000 0.5630 [4 per cell]  3 Nd 2.90-2.92
O1 0.0000 0.5000 0.5000 [2 per cell]  2 Bi 2.01
O2 0.0561 0.0000 0.8699 [4 per cell]  2 Bi 2.09
O3 0.0920 0.5000 0.1647 [4 per cell]  1 Bi 2.09
O4 0.1828 0.5000 0.9453 [4 per cell]  1 Bi 2.11, 1 Nd 2.36

Material: PrBiCl2O2
Method: DFT, PBE
State: relaxed

abc: 4.0122 4.0122 7.0289
angles: 90.00 90.00 90.00
With the nearest neighbours (Å) after each atom.
Space group P4mm (No. 99)
Unique sites:
Pr1 0.0000 0.0000 0.0000 [1 per cell]  4 O 2.40
Bi1 0.5000 0.5000 0.3513 [1 per cell]  4 O 2.32
Cl1 0.0000 0.0000 0.5667 [1 per cell]  1 Pr 3.05, 4 Bi 3.22, 4 O 3.34, 4 Cl 3.41
Cl2 0.5000 0.5000 0.8351 [1 per cell]  4 Pr 3.06, 4 O 3.18, 1 Bi 3.40, 4 Cl 3.41
O1 0.0000 0.5000 0.1867 [2 per cell]  2 Bi 2.32, 2 Pr 2.40

Material: Pr2BiClO4
Method: DFT, PBE
State: relaxed

abc: 4.0221 4.0221 9.0792
angles: 90.00 90.00 90.00
With the nearest neighbours (Å) after each atom.
Space group P4/mmm (No. 123)
Unique sites:
Pr1 0.0000 0.0000 0.2256 [2 per cell]  4 O 2.26
Bi1 0.5000 0.5000 0.5000 [1 per cell]  8 O 2.48
Cl1 0.5000 0.5000 0.0000 [1 per cell]  8 Pr 3.50, 8 O 3.68
O1 0.0000 0.5000 0.3401 [4 per cell]  2 Pr 2.26, 2 Bi 2.48

Material: Sm2Bi2Cl2O7
Method: DFT, PBE
State: relaxed

abc: 15.6228 4.0707 7.1125
angles: 90.00 114.79 90.00
With the nearest neighbours (Å) after each atom.
Space group C2/m (No. 12)
Unique sites:
Sm1 0.1996 0.0000 0.1753 [4 per cell]  4 O 2.32-2.55
Bi1 0.0350 0.5000 0.8058 [4 per cell]  5 O 2.01-2.12
Cl1 0.1785 0.0000 0.5631 [4 per cell]  3 Sm 2.87-2.91
O1 0.0000 0.5000 0.5000 [2 per cell]  2 Bi 2.01
O2 0.0581 0.0000 0.8733 [4 per cell]  2 Bi 2.09
O3 0.0930 0.5000 0.1660 [4 per cell]  2 Bi 2.09-2.33
O4 0.1842 0.5000 0.9475 [4 per cell]  1 Bi 2.12, 1 Sm 2.32

Material: Sm2BiClO4
Method: DFT, PBE
State: relaxed

abc: 3.9826 3.9826 9.0404
angles: 90.00 90.00 90.00
With the nearest neighbours (Å) after each atom.
Space group P4/mmm (No. 123)
Unique sites:
Sm1 0.0000 0.0000 0.2294 [2 per cell]  4 O 2.22
Bi1 0.5000 0.5000 0.5000 [1 per cell]  8 O 2.47
Cl1 0.5000 0.5000 0.0000 [1 per cell]  8 Sm 3.50, 8 O 3.65
O1 0.0000 0.5000 0.3379 [4 per cell]  2 Sm 2.22, 2 Bi 2.47

Material: TaBi4ClO8
Method: DFT, PBE
State: relaxed

abc: 28.5228 5.5249 5.4889
angles: 90.00 90.00 90.00
With the nearest neighbours (Å) after each atom.
Space group Pna2_1 (No. 33)
Unique sites:
Ta1 0.2500 0.2421 0.0000 [4 per cell]  6 O 1.91-2.09
Bi1 0.0659 0.2641 0.0071 [4 per cell]  4 O 2.21-2.29
Bi2 0.0659 0.7642 0.4898 [4 per cell]  4 O 2.22-2.29
Bi3 0.1565 0.3042 0.5179 [4 per cell]  4 O 2.26-2.37
Bi4 0.1566 0.8042 0.9801 [4 per cell]  4 O 2.26-2.37
Cl1 0.0000 0.2503 0.4975 [4 per cell]  8 Bi 3.28-3.41, 8 O 3.52-3.62
O1 0.1034 0.0027 0.7493 [4 per cell]  3 Bi 2.22-2.29
O2 0.1032 0.5026 0.7480 [4 per cell]  3 Bi 2.21-2.29
O3 0.1054 0.5144 0.2497 [4 per cell]  3 Bi 2.22-2.37
O4 0.1055 0.0145 0.2475 [4 per cell]  3 Bi 2.22-2.37
O5 0.1833 0.1929 0.9047 [4 per cell]  1 Ta 1.99
O6 0.1833 0.6927 0.5942 [4 per cell]  1 Ta 1.99
O7 0.2348 0.4661 0.2535 [4 per cell]  2 Ta 1.91-2.08
O8 0.2347 0.9663 0.2470 [4 per cell]  2 Ta 1.91-2.09

Material: Tm2BiClO4
Method: DFT, PBE
State: relaxed

abc: 3.9107 3.9107 8.9121
angles: 90.00 90.00 90.00
With the nearest neighbours (Å) after each atom.
Space group P4/mmm (No. 123)
Unique sites:
Tm1 0.0000 0.0000 0.2353 [2 per cell]  4 O 2.14
Bi1 0.5000 0.5000 0.5000 [1 per cell]  8 O 2.47
Cl1 0.5000 0.5000 0.0000 [1 per cell]  8 Tm 3.47, 8 O 3.54
O1 0.0000 0.5000 0.3316 [4 per cell]  2 Tm 2.14

Material: ZnBiClO2
Method: DFT, PBE
State: relaxed

abc: 5.5172 11.5412 5.4447
angles: 90.00 90.00 90.00
With the nearest neighbours (Å) after each atom.
Space group Cmcm (No. 63)
Unique sites:
Zn1 0.0000 0.0429 0.2500 [4 per cell]  4 O 2.02
Bi1 0.0000 0.3925 0.2500 [4 per cell]  4 O 2.28
Cl1 0.0000 0.2412 0.7500 [4 per cell]  4 Bi 3.16-3.23, 1 Zn 3.28, 4 O 3.40
O1 0.2449 0.5000 0.0000 [8 per cell]  2 Zn 2.02

Material: Rb2BiPdCl6
Method: DFT, PBE
State: relaxed

abc: 10.5743 10.5743 10.5743
angles: 90.00 90.00 90.00
With the nearest neighbours (Å) after each atom.
Space group Fm-3m (No. 225)
Unique sites:
Rb1 0.2500 0.2500 0.2500 [8 per cell]  12 Cl 3.74
Bi1 0.0000 0.0000 0.0000 [4 per cell]  6 Cl 2.72
Pd1 0.0000 0.0000 0.5000 [4 per cell]  6 Cl 2.57
Cl1 0.0000 0.0000 0.2574 [24 per cell]  1 Pd 2.57, 1 Bi 2.72

Material: ZnBiS2Cl
Method: DFT, PBE
State: relaxed

abc: 12.4378 3.8979 9.0768
angles: 90.00 91.66 90.00
With the nearest neighbours (Å) after each atom.
Space group C2/m (No. 12)
Unique sites:
Zn1 0.0000 0.0000 0.0000 [2 per cell]  2 S 2.40, 4 Cl 2.61
Zn2 0.0000 0.0000 0.5000 [2 per cell]  6 S 2.45-2.63
Bi1 0.2187 0.5000 0.2885 [4 per cell]  3 S 2.64-2.71
S1 0.0686 0.0000 0.2496 [4 per cell]  2 Zn 2.40-2.45
S2 0.1373 0.5000 0.5538 [4 per cell]  2 Zn 2.63, 1 Bi 2.64
Cl1 0.1317 0.5000 0.9417 [4 per cell]  2 Zn 2.61

Material: TbBiCl6
Method: DFT, PBE
State: relaxed

abc: 6.9639 12.0608 6.5346
angles: 90.00 110.89 90.00
With the nearest neighbours (Å) after each atom.
Space group C2 (No. 5)
Unique sites:
Tb1 0.0000 0.0000 0.0000 [2 per cell]  6 Cl 2.67
Bi1 0.0000 0.6678 0.0000 [2 per cell]  6 Cl 2.74
Cl1 0.2259 0.8378 0.2490 [4 per cell]  1 Tb 2.67, 1 Bi 2.74
Cl2 0.2358 0.0087 0.7560 [4 per cell]  1 Tb 2.67, 1 Bi 2.74
Cl3 0.2470 0.6546 0.7552 [4 per cell]  1 Tb 2.67, 1 Bi 2.74

Material: TmBiCl6
Method: DFT, PBE
State: relaxed

abc: 6.8767 11.9008 6.4955
angles: 90.00 110.74 90.00
With the nearest neighbours (Å) after each atom.
Space group C2 (No. 5)
Unique sites:
Tm1 0.0000 0.0000 0.0000 [2 per cell]  6 Cl 2.61-2.62
Bi1 0.0000 0.6672 0.0000 [2 per cell]  6 Cl 2.73-2.74
Cl1 0.2269 0.8403 0.2468 [4 per cell]  1 Tm 2.62, 1 Bi 2.73
Cl2 0.2333 0.0063 0.7585 [4 per cell]  1 Tm 2.61, 1 Bi 2.73
Cl3 0.2475 0.1536 0.2434 [4 per cell]  1 Tm 2.61, 1 Bi 2.74

Material: Bi3W2Cl3
Method: DFT, PBE
State: relaxed

abc: 7.3278 7.3278 16.6136
angles: 90.00 90.00 120.00
With the nearest neighbours (Å) after each atom.
Space group R-3m (No. 166, hexagonal axes)
Unique sites:
Bi1 0.0000 0.5000 0.0000 [9 per cell]  2 W 2.62
W1 0.0000 0.0000 0.2406 [6 per cell]  1 Cl 2.27
Cl1 0.0000 0.0000 0.1042 [6 per cell]  1 W 2.27
Cl2 0.0000 0.0000 0.5000 [3 per cell]  6 Bi 3.48

Material: Co8Bi
Method: DFT, PBE
State: relaxed

abc: 7.8182 3.5130 22.2750
angles: 90.00 90.34 90.00
With the nearest neighbours (Å) after each atom.
Space group C2/m (No. 12)
Unique sites:
Co1 0.0470 0.0000 0.3767 [4 per cell]  12 Co 2.46-2.49
Co2 0.0514 0.0000 0.7284 [4 per cell]  9 Co 2.45-2.48
Co3 0.0519 0.5000 0.5530 [4 per cell]  12 Co 2.47-2.49
Co4 0.1496 0.0000 0.4822 [4 per cell]  12 Co 2.47-2.49
Co5 0.1500 0.5000 0.3066 [4 per cell]  11 Co 2.44-2.49
Co6 0.1508 0.5000 0.6584 [4 per cell]  12 Co 2.41-2.49
Co7 0.2467 0.5000 0.4118 [4 per cell]  12 Co 2.46-2.49
Co8 0.2497 0.0000 0.2389 [4 per cell]  6 Co 2.41-2.47, 1 Bi 2.69
Bi1 0.0460 0.5000 0.1779 [4 per cell]  6 Co 2.69-2.97

For the records above, the corresponding total DFT energy (no corrections) values read -2.95; -2.48; -4.09; -6.81; -5.41; -6.78; -6.09; -5.87; -6.77; -6.08; -6.80; -6.64; -6.79; -4.62; -3.43; -3.70; -4.10; -4.08; -5.07; -6.68 eV/atom.